one.
Compound: Ge2IrRu
Source: Alexandria via LeMat-Bulk
Functional: PBE-GGA
Structure: optimized geometry

* space group: Fm-3m, No. 225
* theoretical density: 12.521 Mg/m³
* magnetization: 0.00 μB/atom

Lattice parameters (Å, degrees): 4.3490 4.3490 4.3490 60.00 60.00 60.00
Fractional positions:
Ru: 0.0000 0.0000 0.0000
Ge: 0.2500 0.2500 0.2500
Ge: 0.7500 0.7500 0.7500
Ir: 0.5000 0.5000 0.5000


two.
Compound: Ge2IrRu
Source: Alexandria via LeMat-Bulk
Functional: PBE-GGA
Structure: optimized geometry

* space group: I-42d, No. 122
* theoretical density: 8.241 Mg/m³
* magnetization: 0.00 μB/atom

Lattice parameters (Å, degrees): 5.6383 5.6383 6.8414 65.66 65.66 90.00
Fractional positions:
Ru: 0.5000 0.5000 0.0000
Ru: 0.2500 0.7500 0.5000
Ge: 0.6258 0.1250 0.2500
Ge: 0.1242 0.6250 0.2500
Ge: 0.3750 0.3742 0.7500
Ge: 0.8750 0.8758 0.7500
Ir: 0.0000 0.0000 0.0000
Ir: 0.7500 0.2500 0.5000


Which structure loses on stability? two does.


one.
Compound: Ge2IrRu
Source: Alexandria via LeMat-Bulk
Functional: PBE-GGA
Structure: optimized geometry

* space group: R3m, No. 160
* theoretical density: 11.232 Mg/m³
* magnetization: 0.00 μB/atom

Lattice parameters (Å, degrees): 3.8221 3.8221 5.5799 69.97 69.97 60.00
Fractional positions:
Ge: 0.0805 0.0805 0.7586
Ge: 0.2516 0.2516 0.2452
Ir: 0.6753 0.6753 0.9741
Ru: 0.4926 0.4926 0.5222


two.
Compound: Ge2IrRu
Source: Alexandria via LeMat-Bulk
Functional: PBE-GGA
Structure: optimized geometry

* space group: P4/mmm, No. 123
* theoretical density: 12.595 Mg/m³
* magnetization: 0.00 μB/atom

Lattice parameters (Å, degrees): 3.2686 4.2058 4.2058 90.00 90.00 90.00
Fractional positions:
Ru: 0.5000 0.5000 0.5000
Ge: 0.0000 0.0000 0.5000
Ge: 0.0000 0.5000 0.0000
Ir: 0.5000 0.0000 0.0000


Which structure loses on stability? one does.